Entry 1:
## Mg7Si2H6O14 (PBEsol)

Data for a geometry-optimized Mg7Si2H6O14 structure.

Summary:
Total energy: -6.319 eV per atom
M_tot: 0.00 μB/f.u.
Crystal system: hexagonal
Calculated density: 2.97 g cm⁻³

Geometry as POSCAR:
```
Mg7Si2H6O14
1.0
7.8436 0.0000 0.0000
-3.9218 6.7927 0.0000
0.0000 0.0000 9.5660
Mg Si H O
14 4 12 28
Direct
0.0220 0.2445 0.0000
0.0846 0.4563 0.7264
0.2226 0.9780 0.0000
0.2445 0.2226 0.5000
0.3333 0.6667 0.0106
0.3717 0.9154 0.7264
0.4563 0.3717 0.2264
0.5437 0.6283 0.7264
0.6283 0.0846 0.2264
0.6667 0.3333 0.5106
0.7555 0.7774 0.0000
0.7774 0.0220 0.5000
0.9154 0.5437 0.2264
0.9780 0.7555 0.5000
0.0000 0.0000 0.2107
0.0000 0.0000 0.7107
0.3333 0.6667 0.4375
0.6667 0.3333 0.9375
0.0228 0.6766 0.8738
0.1679 0.4551 0.2085
0.2872 0.8321 0.2085
0.3234 0.3462 0.8738
0.3462 0.0228 0.3738
0.4551 0.2872 0.7085
0.5449 0.7128 0.2085
0.6538 0.9772 0.8738
0.6766 0.6538 0.3738
0.7128 0.1679 0.7085
0.8321 0.5449 0.7085
0.9772 0.3234 0.3738
0.0000 0.0000 0.3811
0.0000 0.0000 0.8811
0.0275 0.2019 0.6351
0.0985 0.4755 0.1288
0.1648 0.7162 0.3774
0.1665 0.7289 0.8719
0.1744 0.9725 0.6351
0.2019 0.1744 0.1351
0.2711 0.4376 0.8719
0.2838 0.4485 0.3774
0.3333 0.6667 0.6116
0.3770 0.9015 0.1288
0.4376 0.1665 0.3719
0.4485 0.1648 0.8774
0.4755 0.3770 0.6288
0.5245 0.6230 0.1288
0.5515 0.8352 0.3774
0.5624 0.8335 0.8719
0.6230 0.0985 0.6288
0.6667 0.3333 0.1116
0.7162 0.5515 0.8774
0.7289 0.5624 0.3719
0.7981 0.8256 0.6351
0.8256 0.0275 0.1351
0.8335 0.2711 0.3719
0.8352 0.2838 0.8774
0.9015 0.5245 0.6288
0.9725 0.7981 0.1351
```

Entry 2:
## MgBeN2 (PBEsol)

Data for a geometry-optimized MgBeN2 structure.

Summary:
Total energy: -5.279 eV per atom
Energy relative to the elements, uncorrected: 0.413 eV per atom
M_tot: 0.00 μB/f.u.
Crystal system: cubic
Calculated density: 3.12 g cm⁻³

Geometry as POSCAR:
```
MgBeN2
1.0
0.0000 2.5357 2.5357
2.5357 0.0000 2.5357
2.5357 2.5357 0.0000
Mg Be N
1 1 2
Direct
0.0000 0.0000 0.0000
0.5000 0.5000 0.5000
0.2500 0.2500 0.2500
0.7500 0.7500 0.7500
```

Entry 3:
## LaHgW2 (PBEsol)

Data for a geometry-optimized LaHgW2 structure.

Summary:
Total energy: -7.864 eV per atom
DFT formation energy: 517.8 meV per atom
M_tot: 0.00 μB/f.u.
Crystal system: trigonal
Calculated density: 14.13 g cm⁻³

Geometry as POSCAR:
```
LaHgW2
1.0
1.5796 0.9120 9.6135
-1.5796 0.9120 9.6135
0.0000 -1.8239 9.6135
La Hg W
1 1 2
Direct
0.0000 0.0000 0.0000
0.7659 0.7659 0.7659
0.2425 0.2425 0.2425
0.5148 0.5148 0.5148
```